# 1
Material: Sr2ZrAg
Method: DFT, PBE
State: optimized geometry

Structure (POSCAR):
```
Sr2ZrAg
1.0
5.049 0.000 0.000
0.000 4.001 -0.009
0.000 2.009 6.555
Zr Sr Ag
1 2 1
Direct
0.000 0.677 0.518
0.000 0.968 0.940
0.500 0.283 0.308
0.500 0.573 0.734
```

Results
**Polymorph energy (0 for the lowest one)**: 135 meV/atom
**E**: -3.386 eV/atom

=====

# 2
Material: SrZr3Ag
Method: DFT, PBE
State: optimized geometry

Structure (POSCAR):
```
SrZr3Ag
1.0
-4.423 -2.591 -1.422
2.956 -3.900 -2.087
-0.026 -2.525 4.682
Zr Ag Sr
3 1 1
Direct
0.000 0.500 0.000
0.500 0.000 0.000
0.000 0.000 0.500
0.000 0.000 0.000
0.500 0.500 0.500
```

Results
**Polymorph energy (0 for the lowest one)**: 0 meV/atom
**E**: -5.236 eV/atom

=====

# 3
Material: SrZr2Ag
Method: DFT, PBE
State: optimized geometry

Structure (POSCAR):
```
SrZr2Ag
1.0
-0.952 -3.413 2.338
4.124 -0.590 0.818
0.660 4.831 11.175
Zr Sr Ag
4 2 2
Direct
0.105 0.625 0.250
0.375 0.355 0.750
0.645 0.125 0.250
0.875 0.895 0.750
0.500 0.500 0.000
0.250 0.750 0.500
0.000 0.000 0.000
0.750 0.250 0.500
```

Results
**Polymorph energy (0 for the lowest one)**: 425 meV/atom
**E**: -4.916 eV/atom